Below is a relaxed structure of ZnGa2CuAs, with properties calculated at the PBE-GGA level.

Output
DFT total energy ... -2.895 eV/atom
DOS at the Fermi energy ... 1.8 states/eV per cell
Magnetic moment ... 0.00 μB per cell
Space group ... P4/mmm

Lattice parameters (Å, degrees): 4.7301 4.7301 4.7549 90.00 90.00 90.00
Atoms (fractional coordinates):
Zn: 0.0000 0.0000 0.0000
Ga: 0.0000 0.5000 0.5000
Ga: 0.5000 0.0000 0.5000
Cu: 0.5000 0.5000 0.5000
As: 0.5000 0.5000 0.0000